No. 1
First-principles (PBE) data for ZrBeN2 after structural relaxation, as listed in Alexandria via LeMat-Bulk.

Structure (POSCAR):
```
ZrBeN2
1.0
1.683 0.972 5.257
-1.683 0.972 5.257
0.000 -1.943 5.257
Zr Be N
1 1 2
Cartesian
0.000 0.000 0.000
0.000 0.000 7.885
0.000 0.000 6.363
0.000 0.000 9.408
```

Summary:
The raw formation energy is -1.135 eV/atom. Its space-group type is R-3m. The theoretical density comes out at 4.13 g/cm3. Its crystal system is trigonal. The energy comes out at -0.6149 Ry/atom.

No. 2
First-principles (PBE) data for Zr3Be3N after structural relaxation, as listed in Alexandria via LeMat-Bulk.

Structure (POSCAR):
```
Zr3Be3N
1.0
0.000 5.833 5.833
5.833 0.000 5.833
5.833 5.833 0.000
Zr Be N
12 12 4
Cartesian
4.375 4.375 0.827
4.375 0.827 4.375
7.923 4.375 4.375
7.291 7.291 3.743
7.291 3.743 7.291
10.839 7.291 7.291
0.827 4.375 4.375
4.375 7.923 4.375
4.375 4.375 7.923
3.743 7.291 7.291
7.291 10.839 7.291
7.291 7.291 10.839
5.833 2.916 2.916
3.548 3.548 3.548
5.201 5.201 3.548
5.201 3.548 5.201
8.117 6.465 6.465
2.916 5.833 2.916
2.916 2.916 5.833
5.833 5.833 5.833
3.548 5.201 5.201
6.465 8.117 6.465
6.465 6.465 8.117
8.117 8.117 8.117
0.000 0.000 0.000
2.916 2.916 0.000
2.916 0.000 2.916
0.000 2.916 2.916
```

Summary:
The raw formation energy is -0.559 eV/atom. Its space-group type is Fd-3m. The theoretical density comes out at 5.27 g/cm3. Its crystal system is cubic. The energy comes out at -0.5151 Ry/atom.

No. 3
First-principles (PBE) data for ZrBeN3 after structural relaxation, as listed in Alexandria via LeMat-Bulk.

Structure (POSCAR):
```
ZrBeN3
1.0
4.182 0.000 0.000
0.000 4.182 0.000
0.000 0.000 4.182
Zr Be N
1 1 3
Cartesian
0.000 0.000 0.000
2.091 2.091 2.091
0.000 0.000 2.091
0.000 2.091 0.000
2.091 0.000 0.000
```

Summary:
The raw formation energy is 1.262 eV/atom. Its space-group type is Pm-3m. The theoretical density comes out at 3.23 g/cm3. Its crystal system is cubic. The energy comes out at -0.4548 Ry/atom.